The following is a meta-GGA SCAN calculation of a crystal of Ba2TlAg relaxed with PBEsol, from the Alexandria database.

```
Ba2TlAg
1.0
-3.166 -2.457 0.116
1.127 -1.187 5.640
-3.423 4.487 1.624
Ag Tl Ba
1 1 2
direct
0.500 0.500 0.500
0.500 0.000 0.000
0.000 0.000 0.500
0.000 0.500 0.000
```

Computed properties:
* energy of formation: -0.41 eV per atom
* calculated density: 7.049 g cm⁻³
* space-group type: P4/mmm
* electronic total energy: -184.46 eV for the cell shown
* polymorph energy (0 for the lowest one): 0 kJ/mol of formula units